1.
Ba2In3Pd: relaxed, PBE-GGA.

Structure (CIF):
```
data_Ba2In3Pd
_space_group_name_H-M_alt 'C 1 m 1'
_space_group_IT_number 8
_cell_length_a 11.959
_cell_length_b 4.972
_cell_length_c 8.291
_cell_angle_alpha 90.00
_cell_angle_beta 130.58
_cell_angle_gamma 90.00
loop_
_space_group_symop_operation_xyz
'x,y,z'
'x,-y,z'
'x+1/2,y+1/2,z'
'x+1/2,-y+1/2,z'
loop_
_atom_site_label
_atom_site_type_symbol
_atom_site_fract_x
_atom_site_fract_y
_atom_site_fract_z
_atom_site_occupancy
Ba1 Ba 0.000 0.000 0.000 1
Ba2 Ba 0.128 0.000 0.606 1
In1 In 0.246 0.500 0.391 1
In2 In 0.373 0.000 0.200 1
In3 In 0.433 0.000 0.620 1
Pd1 Pd 0.223 0.500 0.027 1
```

Properties
- calculated formation energy (eV/f.u.) = -3.06


2.
Rb4Pu3PaS8: relaxed, PBE-GGA.

Structure (CIF):
```
data_Rb4Pu3PaS8
_space_group_name_H-M_alt 'R -3 m'
_space_group_IT_number 166
_space_group_name_Hall '-R 3 2"'
_cell_length_a 8.2769
_cell_length_b 8.2769
_cell_length_c 23.0197
_cell_angle_alpha 90.00
_cell_angle_beta 90.00
_cell_angle_gamma 120.00
loop_
_atom_site_label
_atom_site_type_symbol
_atom_site_fract_x
_atom_site_fract_y
_atom_site_fract_z
_atom_site_occupancy
Rb1 Rb 0.0000 0.0000 0.0000 1
Rb2 Rb 0.0000 0.5000 0.0000 1
Pu1 Pu 0.0000 0.5000 0.5000 1
Pa1 Pa 0.0000 0.0000 0.5000 1
S1 S 0.0000 0.0000 0.2301 1
S2 S 0.0100 0.5050 0.2304 1
```

Properties
- ΔE_f (raw) (eV per formula unit) = -25.1


3.
ThMg3Cu3: relaxed, PBE-GGA.

Structure (CIF):
```
data_ThMg3Cu3
_space_group_name_H-M_alt 'P m -3 n'
_space_group_IT_number 223
_space_group_name_Hall '-P 4n 2 3'
_cell_length_a 6.797
_cell_length_b 6.797
_cell_length_c 6.797
_cell_angle_alpha 90.00
_cell_angle_beta 90.00
_cell_angle_gamma 90.00
loop_
_atom_site_label
_atom_site_type_symbol
_atom_site_fract_x
_atom_site_fract_y
_atom_site_fract_z
_atom_site_occupancy
Th1 Th 0.000 0.000 0.000 1
Mg1 Mg 0.000 0.250 0.500 1
Cu1 Cu 0.000 0.500 0.250 1
```

Properties
- calculated formation energy (eV/f.u.) = 3.34
- offset from the most stable computed form (meV per atom) = 583